Record 1
RhSe3 | Alexandria | PBE | relaxed; calculated volume = 18.5 Å³/atom; raw formation energy = 0.63 eV/atom
1.0
4.195 0.000 0.000
0.000 4.195 0.000
0.000 0.000 4.195
Rh Se
1 3
Direct
0.000 0.000 0.000 Rh
0.000 0.500 0.500 Se
0.500 0.000 0.500 Se
0.500 0.500 0.000 Se

Record 2
Rh3Se | Alexandria | PBE | relaxed; calculated volume = 15.1 Å³/atom; raw formation energy = 0.25 eV/atom
1.0
6.225 0.000 0.000
0.000 6.225 0.000
0.000 0.000 6.225
Rh Se
12 4
Direct
0.000 0.000 0.000 Rh
0.000 0.500 0.500 Rh
0.250 0.250 0.250 Rh
0.250 0.250 0.750 Rh
0.250 0.750 0.250 Rh
0.250 0.750 0.750 Rh
0.500 0.000 0.500 Rh
0.500 0.500 0.000 Rh
0.750 0.250 0.250 Rh
0.750 0.250 0.750 Rh
0.750 0.750 0.250 Rh
0.750 0.750 0.750 Rh
0.000 0.000 0.500 Se
0.000 0.500 0.000 Se
0.500 0.000 0.000 Se
0.500 0.500 0.500 Se

Record 3
RhSe2 | Alexandria | PBE | relaxed; calculated volume = 18.4 Å³/atom; raw formation energy = 0.07 eV/atom
1.0
6.063 0.000 0.000
0.000 6.063 0.000
0.000 0.000 5.991
Rh Se
4 8
Direct
0.000 0.000 0.250 Rh
0.000 0.000 0.750 Rh
0.500 0.500 0.250 Rh
0.500 0.500 0.750 Rh
0.174 0.326 0.000 Se
0.174 0.674 0.500 Se
0.326 0.174 0.500 Se
0.326 0.826 0.000 Se
0.674 0.174 0.000 Se
0.674 0.826 0.500 Se
0.826 0.326 0.500 Se
0.826 0.674 0.000 Se

Record 4
Rh2Se | Alexandria | PBE | relaxed; calculated volume = 16.0 Å³/atom; raw formation energy = 0.45 eV/atom
1.0
4.376 0.000 0.000
-2.188 3.789 0.000
0.000 0.000 2.893
Rh Se
2 1
Direct
0.333 0.667 0.000 Rh
0.667 0.333 0.000 Rh
0.000 0.000 0.500 Se

Record 5
RhSe3 | Alexandria | PBE | relaxed; calculated volume = 17.8 Å³/atom; raw formation energy = 0.43 eV/atom
1.0
4.736 0.000 0.000
0.000 4.736 0.000
0.000 0.000 3.169
Rh Se
1 3
Direct
0.000 0.000 0.000 Rh
0.000 0.500 0.500 Se
0.500 0.000 0.500 Se
0.500 0.500 0.000 Se

Record 6
Rh2Se | Alexandria | PBE | relaxed; calculated volume = 16.6 Å³/atom; raw formation energy = 0.13 eV/atom
1.0
5.253 0.000 0.000
0.000 5.253 0.000
0.000 0.000 7.211
Rh Se
8 4
Direct
0.188 0.312 0.000 Rh
0.188 0.688 0.500 Rh
0.312 0.188 0.500 Rh
0.312 0.812 0.000 Rh
0.688 0.188 0.000 Rh
0.688 0.812 0.500 Rh
0.812 0.312 0.500 Rh
0.812 0.688 0.000 Rh
0.000 0.000 0.250 Se
0.000 0.000 0.750 Se
0.500 0.500 0.250 Se
0.500 0.500 0.750 Se

Record 7
RhSe2 | Alexandria | PBE | relaxed; calculated volume = 20.2 Å³/atom; raw formation energy = -0.36 eV/atom
1.0
3.775 0.000 0.000
0.000 12.951 0.000
0.000 0.000 4.965
Rh Se
4 8
Direct
0.000 0.163 0.250 Rh
0.000 0.837 0.750 Rh
0.500 0.337 0.750 Rh
0.500 0.663 0.250 Rh
0.000 0.206 0.750 Se
0.000 0.460 0.750 Se
0.000 0.540 0.250 Se
0.000 0.794 0.250 Se
0.500 0.040 0.250 Se
0.500 0.294 0.250 Se
0.500 0.706 0.750 Se
0.500 0.960 0.750 Se

Record 8
RhSe5 | Alexandria | PBE | relaxed; calculated volume = 28.8 Å³/atom; raw formation energy = 0.70 eV/atom
1.0
4.982 0.000 0.000
-2.491 4.315 0.000
0.000 0.000 8.039
Rh Se
1 5
Direct
0.000 0.000 0.000 Rh
0.000 0.500 0.500 Se
0.333 0.667 0.000 Se
0.500 0.000 0.500 Se
0.500 0.500 0.500 Se
0.667 0.333 0.000 Se

Record 9
RhSe3 | Alexandria | PBE | relaxed; calculated volume = 23.3 Å³/atom; raw formation energy = -0.06 eV/atom
1.0
3.572 0.000 0.000
0.000 11.076 0.000
0.000 0.000 4.717
Rh Se
2 6
Direct
0.000 0.000 0.000 Rh
0.500 0.500 0.500 Rh
0.000 0.354 0.649 Se
0.000 0.500 0.125 Se
0.000 0.646 0.649 Se
0.500 0.000 0.625 Se
0.500 0.146 0.149 Se
0.500 0.854 0.149 Se

Record 10
Rh5Se | Alexandria | PBE | relaxed; calculated volume = 14.7 Å³/atom; raw formation energy = 0.13 eV/atom
1.0
4.411 0.000 0.000
0.000 2.838 0.000
0.000 0.000 14.079
Rh Se
10 2
Direct
0.000 0.000 0.000 Rh
0.000 0.000 0.329 Rh
0.000 0.000 0.664 Rh
0.000 0.500 0.164 Rh
0.000 0.500 0.500 Rh
0.000 0.500 0.829 Rh
0.500 0.000 0.213 Rh
0.500 0.000 0.547 Rh
0.500 0.500 0.047 Rh
0.500 0.500 0.713 Rh
0.500 0.000 0.880 Se
0.500 0.500 0.380 Se

Record 11
Rh2Se | Alexandria | PBE | relaxed; calculated volume = 19.3 Å³/atom; raw formation energy = -0.22 eV/atom
1.0
3.784 0.000 0.000
0.000 15.357 0.000
0.000 0.000 3.979
Rh Se
8 4
Direct
0.000 0.060 0.250 Rh
0.000 0.432 0.250 Rh
0.000 0.568 0.750 Rh
0.000 0.940 0.750 Rh
0.500 0.068 0.750 Rh
0.500 0.440 0.750 Rh
0.500 0.560 0.250 Rh
0.500 0.932 0.250 Rh
0.000 0.339 0.750 Se
0.000 0.661 0.250 Se
0.500 0.161 0.250 Se
0.500 0.839 0.750 Se

Record 12
Rh3Se | Alexandria | PBE | relaxed; calculated volume = 15.0 Å³/atom; raw formation energy = 0.18 eV/atom
1.0
4.601 0.000 0.000
0.000 4.601 0.000
0.000 0.000 2.838
Rh Se
3 1
Direct
0.000 0.000 0.000 Rh
0.000 0.500 0.500 Rh
0.500 0.000 0.500 Rh
0.500 0.500 0.000 Se